# AlCu3Re

Crystalline AlCu3Re at its relaxed geometry (PBE, Alexandria via LeMat-Bulk).

```
AlCu3Re
1.0
4.262 0.000 0.000
0.000 4.262 0.000
0.000 0.000 4.262
Re Cu Al
1 3 1
Direct
0.500 0.500 0.500
0.500 0.000 0.000
0.000 0.500 0.000
0.000 0.000 0.500
0.000 0.000 0.000
```

Results
- V: 15.482 Å³/atom
- Calculated total energy: -0.161 Ha/atom
- ΔE to the lowest computed polymorph: 0.000 eV/atom